# ZrP2SO, relaxed, DFT GGA-PBE
# magnetization	0.000	μB/atom
# E_form (uncorrected)	0.8094	eV/atom
# total DFT energy (no corrections)	-4.8813	eV per atom
data_ZrP2SO
_chemical_formula_sum 'Zr1 P2 S1 O1'
_space_group_name_H-M_alt 'P 4/m m m'
_space_group_IT_number 123
_space_group_name_Hall '-P 4 2'
_cell_length_a 5.0714
_cell_length_b 5.0714
_cell_length_c 4.8213
_cell_angle_alpha 90.00
_cell_angle_beta 90.00
_cell_angle_gamma 90.00
loop_
_atom_site_label
_atom_site_fract_x
_atom_site_fract_y
_atom_site_fract_z
Zr1 0.0000 0.0000 0.0000
P1 0.0000 0.5000 0.0000
S1 0.0000 0.0000 0.5000
O1 0.5000 0.5000 0.5000

# Ca2Ac4Ir, relaxed, DFT GGA-PBE
# magnetization	0.000	μB/atom
# total DFT energy (no corrections)	-4.2311	eV per atom
# energy of formation from the pure elements	-46	meV per atom
data_Ca2Ac4Ir
_chemical_formula_sum 'Ca4 Ac8 Ir2'
_space_group_name_H-M_alt 'I 4/m m m'
_space_group_IT_number 139
_space_group_name_Hall '-I 4 2'
_cell_length_a 5.8531
_cell_length_b 5.8531
_cell_length_c 19.1146
_cell_angle_alpha 90.00
_cell_angle_beta 90.00
_cell_angle_gamma 90.00
loop_
_atom_site_label
_atom_site_fract_x
_atom_site_fract_y
_atom_site_fract_z
Ca1 0.0000 0.0000 0.1452
Ac1 0.0000 0.0000 0.3450
Ac2 0.0000 0.5000 0.0000
Ir1 0.0000 0.0000 0.5000

# BeZn2B2Pt5, relaxed, DFT GGA-PBE
# magnetization	0.000	μB/atom
# total DFT energy (no corrections)	-5.2954	eV per atom
# energy of formation from the pure elements	-312	meV per atom
data_BeZn2B2Pt5
_chemical_formula_sum 'Be2 Zn4 B4 Pt10'
_space_group_name_H-M_alt 'P 4/m b m'
_space_group_IT_number 127
_space_group_name_Hall '-P 4 2ab'
_cell_length_a 9.2421
_cell_length_b 9.2421
_cell_length_c 3.0336
_cell_angle_alpha 90.00
_cell_angle_beta 90.00
_cell_angle_gamma 90.00
loop_
_atom_site_label
_atom_site_fract_x
_atom_site_fract_y
_atom_site_fract_z
Be1 0.0000 0.0000 0.0000
Zn1 0.1732 0.3268 0.0000
B1 0.1308 0.6308 0.0000
Pt1 0.0000 0.5000 0.5000
Pt2 0.0800 0.7976 0.5000

# Tb5Si2Se2, relaxed, DFT GGA-PBE
# magnetization	0.000	μB/atom
# E_form (uncorrected)	-1.1634	eV/atom
# total DFT energy (no corrections)	-5.7152	eV per atom
data_Tb5Si2Se2
_chemical_formula_sum 'Tb20 Si8 Se8'
_space_group_name_H-M_alt 'C m c e'
_space_group_IT_number 64
_space_group_name_Hall '-C 2ac 2'
_cell_length_a 14.6477
_cell_length_b 7.5853
_cell_length_c 7.6543
_cell_angle_alpha 90.00
_cell_angle_beta 90.00
_cell_angle_gamma 90.00
loop_
_atom_site_label
_atom_site_fract_x
_atom_site_fract_y
_atom_site_fract_z
Tb1 0.0000 0.0000 0.0000
Tb2 0.1333 0.1692 0.3333
Si1 0.0000 0.1251 0.6245
Se1 0.2011 0.0000 0.0000

# PmNdCuNi, relaxed, DFT GGA-PBE
# magnetization	0.000	μB/atom
# total DFT energy (no corrections)	-5.0436	eV per atom
# energy of formation from the pure elements	-195	meV per atom
data_PmNdCuNi
_chemical_formula_sum 'Pm4 Nd4 Cu4 Ni4'
_space_group_name_H-M_alt 'F -4 3 m'
_space_group_IT_number 216
_space_group_name_Hall 'F -4 2 3'
_cell_length_a 7.0635
_cell_length_b 7.0635
_cell_length_c 7.0635
_cell_angle_alpha 90.00
_cell_angle_beta 90.00
_cell_angle_gamma 90.00
loop_
_atom_site_label
_atom_site_fract_x
_atom_site_fract_y
_atom_site_fract_z
Pm1 0.0000 0.0000 0.0000
Nd1 0.0000 0.0000 0.5000
Cu1 0.2500 0.2500 0.7500
Ni1 0.2500 0.2500 0.2500

# PmSmSbPt, relaxed, DFT GGA-PBE
# magnetization	0.043	μB/atom
# E_form (uncorrected)	-0.8815	eV/atom
# total DFT energy (no corrections)	-5.7897	eV per atom
data_PmSmSbPt
_chemical_formula_sum 'Pm4 Sm4 Sb4 Pt4'
_space_group_name_H-M_alt 'F -4 3 m'
_space_group_IT_number 216
_space_group_name_Hall 'F -4 2 3'
_cell_length_a 7.4388
_cell_length_b 7.4388
_cell_length_c 7.4388
_cell_angle_alpha 90.00
_cell_angle_beta 90.00
_cell_angle_gamma 90.00
loop_
_atom_site_label
_atom_site_fract_x
_atom_site_fract_y
_atom_site_fract_z
Pm1 0.0000 0.0000 0.0000
Sm1 0.0000 0.0000 0.5000
Sb1 0.2500 0.2500 0.7500
Pt1 0.2500 0.2500 0.2500